Record 1
H6AuBr | Alexandria | PBE | optimized geometry; crystal system = monoclinic; E = -21.78 eV/cell
1.0
-8.576 -5.796 4.199
3.328 -0.002 -3.930
-1.066 -4.348 2.545
H Au Br
6 1 1
Cartesian
-1.583 -5.830 1.574
-1.508 -3.622 -0.456
-3.577 -6.535 0.533
-2.737 -3.611 2.281
-4.807 -6.524 3.270
-4.731 -4.316 1.240
-4.288 -2.898 2.099
0.000 0.000 0.000

---

Record 2
HAuBr2 | Alexandria | PBE | optimized geometry; energy above the lowest structure with this stoichiometry = 0.62 eV per formula unit; crystal system = trigonal
1.0
-6.997 -2.678 -2.080
-4.823 -5.632 -2.339
-6.179 -4.628 0.928
Au Br H
1 2 1
Cartesian
0.000 0.000 0.000
-1.949 -1.401 -0.378
-16.050 -11.536 -3.112
-9.000 -6.469 -1.745

---

Total magnetic moment readings, ordered: 0.00; 0.00 μB per formula unit
Calculated volume readings, ordered: 13.8; 21.9 Å³/atom
DOS at the Fermi energy readings, ordered: 1.2; 0.4 states/eV per cell